CsHNO2 PBE relaxed; SG = No. 123; density = 2.22 Mg/m³; calculated total energy = -13.2 eV per cell; Fermi-level density of states = 3.0 states/eV/f.u.
1.0
-2.564 2.378 -2.911
-2.099 -3.829 -1.279
-4.456 0.890 4.652
Cs O H N
1 2 1 1
Cartesian
0.000 0.000 0.000 Cs
-1.050 -1.914 -0.639 O
-1.282 1.189 -1.455 O
-4.560 -0.281 0.231 H
-2.228 0.445 2.326 N

CsHN2O PBE relaxed; SG = No. 123; density = 1.73 Mg/m³; calculated total energy = -13.8 eV per cell; Fermi-level density of states = 1.7 states/eV/f.u.
1.0
-0.302 -4.722 3.849
5.959 -1.029 -0.796
0.955 2.808 3.520
N Cs H O
2 1 1 1
Cartesian
2.979 -0.515 -0.398 N
-0.151 -2.361 1.924 N
0.000 0.000 0.000 Cs
3.306 -1.472 3.286 H
0.478 1.404 1.760 O

CsHN2O PBE relaxed; SG = No. 123; density = 3.90 Mg/m³; calculated total energy = -16.3 eV per cell; Fermi-level density of states = 2.3 states/eV/f.u.
1.0
3.449 0.000 0.000
0.000 3.449 0.000
0.000 0.000 6.375
Cs N H O
1 2 1 1
Cartesian
1.724 1.724 3.188 Cs
0.000 1.724 0.000 N
1.724 0.000 0.000 N
0.000 0.000 0.000 H
0.000 0.000 3.188 O

CsP2H3N PBE relaxed; SG = No. 14; density = 2.44 Mg/m³; calculated total energy = -131.0 eV per cell; Fermi-level density of states = 0.0 states/eV/f.u.
1.0
12.836 0.000 0.000
0.000 6.909 0.023
0.000 2.033 6.522
N H P Cs
4 12 8 4
Cartesian
4.018 3.661 2.815 N
10.436 1.827 3.718 N
8.818 5.281 3.730 N
2.400 7.115 2.827 N
1.724 6.424 3.173 H
4.576 4.376 2.327 H
4.694 2.969 3.161 H
8.142 5.973 3.384 H
9.901 2.302 4.452 H
10.994 8.020 4.230 H
3.483 3.186 2.081 H
1.842 0.922 2.316 H
9.353 5.756 4.464 H
2.935 6.640 2.093 H
8.260 4.566 4.218 H
11.112 2.518 3.373 H
12.515 6.016 5.146 P
7.715 8.130 6.539 P
1.297 4.267 0.018 P
6.739 2.561 5.134 P
5.121 0.812 0.006 P
0.321 2.926 1.400 P
6.097 6.381 1.411 P
11.539 4.675 6.528 P
8.056 2.625 1.526 Cs
1.638 2.863 5.008 Cs
11.198 6.079 1.537 Cs
4.780 6.318 5.019 Cs

Cs4H2S2N PBE relaxed; SG = No. 12; density = 3.31 Mg/m³; calculated total energy = -30.7 eV per cell; Fermi-level density of states = 11.6 states/eV/f.u.
1.0
-0.200 5.502 -2.415
-2.269 -2.950 -6.259
-7.265 -0.181 0.462
Cs S N H
4 2 1 2
Cartesian
-7.170 2.826 -3.912 Cs
-4.942 1.591 -6.909 Cs
-4.792 0.780 -1.302 Cs
-2.564 -0.454 -4.299 Cs
-6.308 -0.595 -4.443 S
-3.426 2.966 -3.768 S
-0.100 2.751 -1.207 N
-0.877 2.255 -1.581 H
-8.857 0.116 -6.631 H

CsHSeN2 PBE relaxed; SG = No. 123; density = 3.73 Mg/m³; calculated total energy = -15.7 eV per cell; Fermi-level density of states = 2.9 states/eV/f.u.
1.0
5.429 0.000 0.000
0.000 5.429 0.000
0.000 0.000 3.637
Se Cs N H
1 1 2 1
Cartesian
0.000 0.000 1.818 Se
2.714 2.714 1.818 Cs
2.714 0.000 0.000 N
0.000 2.714 0.000 N
0.000 0.000 0.000 H